DFT (SCAN) results for BePd at its PBEsol-relaxed geometry.

Calculated values
- D(E_F): 0.363 states/eV/atom
- Energy: -19.268 eV per atom
- DFT formation energy: -0.70 eV per atom

Lattice parameters (Å, degrees): 2.798 2.798 2.798 90.00 90.00 90.00
Space group Pm-3m (No. 221)
One atom of each set of equivalent atoms:
Be (0.000, 0.000, 0.000) [1 per cell]
Pd (0.500, 0.500, 0.500) [1 per cell]

---

DFT (SCAN) results for TeWCl2 at its PBEsol-relaxed geometry.

Calculated values
- Energy above the most stable polymorph in this dataset: 121 meV per atom
- D(E_F): 0.678 states/eV/atom
- Energy: -30.649 eV per atom

Lattice parameters (Å, degrees): 2.926 5.716 11.160 90.00 90.00 90.00
Space group Cmmm (No. 65)
One atom of each set of equivalent atoms:
Te (0.000, 0.000, 0.000) [2 per cell]
W (0.000, 0.000, 0.500) [2 per cell]
Cl (0.000, 0.500, 0.328) [4 per cell]

---

DFT (SCAN) results for ZrMnAl2Se at its PBEsol-relaxed geometry.

Calculated values
- D(E_F): 0.545 states/eV/atom
- Energy: -16.321 eV per atom

Lattice parameters (Å, degrees): 5.245 5.245 4.978 90.00 90.00 90.00
Space group P4/mmm (No. 123)
One atom of each set of equivalent atoms:
Zr (0.000, 0.000, 0.000) [1 per cell]
Mn (0.500, 0.500, 0.500) [1 per cell]
Al (0.000, 0.500, 0.000) [2 per cell]
Se (0.000, 0.000, 0.500) [1 per cell]

---

Number 1: total magnetic moment 0.00 Bohr magnetons per cell, calculated volume 10.95 Å³ per atom. Number 2: total magnetic moment 1.84 Bohr magnetons per cell, calculated volume 23.33 Å³ per atom. Number 3: total magnetic moment 5.24 Bohr magnetons per cell, calculated volume 27.39 Å³ per atom.